This record from Alexandria via LeMat-Bulk describes a geometry-optimized U2AsSe structure. The functional is PBE.

Output
* energy relative to the elements, uncorrected: -868 meV per atom
* excess energy over the best structure of this formula in the dataset: 0.004 eV per atom
* electronic total energy: -8.5453 eV/atom
* space-group type: No. 123

```
U2AsSe
1.0
4.0797 0.0000 0.0000
0.0000 4.0797 0.0000
0.0000 0.0000 5.7618
U As Se
2 1 1
Direct
0.0000 0.0000 0.0000 U
0.5000 0.5000 0.5000 U
0.0000 0.0000 0.5000 As
0.5000 0.5000 0.0000 Se
```